29
Lattice="-2.726 8.475 0.813 -0.915 -2.622 -8.497 -4.949 -5.242 5.286" Properties=species:S:1:pos:R:3 comment="Li17Cd12, PBEsol geometry, DFT SCAN" total_energy_ev_per_atom=-14.2296 pbc="T T T"
Cd -5.653 0.982 4.751
Li -0.327 -0.935 -3.031
Cd -2.353 1.261 -1.961
Li -2.078 -3.168 -3.325
Li -4.413 2.894 -0.741
Cd -5.228 3.602 3.896
Li -1.880 4.142 -2.172
Cd -4.542 -5.825 -0.960
Li -5.526 0.393 -1.543
Li -3.746 -0.426 3.347
Cd -2.788 -1.422 -1.086
Cd -3.772 -5.325 -3.593
Li 0.000 0.000 0.000
Li -4.782 -3.095 -1.988
Li -3.848 -0.564 -3.643
Cd -2.408 3.089 -6.336
Li -5.533 1.508 1.874
Cd -4.716 -3.096 2.773
Li -3.860 2.595 -3.843
Li -5.105 -1.380 0.653
Cd -2.242 -1.489 -5.681
Li -3.137 3.326 2.123
Li -3.181 -3.885 0.445
Li -0.972 3.023 0.290
Cd -3.142 0.749 0.735
Li -1.765 -1.870 1.885
Cd -3.352 5.318 0.030
Cd -2.754 5.209 -4.558
Li -1.385 1.106 -4.719

---

2
Lattice="3.084 0.000 0.000 1.542 2.671 0.000 1.542 0.890 2.518" Properties=species:S:1:pos:R:3 comment="IrC, PBEsol geometry, DFT SCAN" polymorph_energy_mev_per_atom=750.8 pbc="T T T"
C 0.000 0.000 0.000
Ir 3.084 1.780 1.259

---

5
Lattice="3.780 0.000 0.000 0.000 3.780 0.000 -1.890 -1.890 4.857" Properties=species:S:1:pos:R:3 comment="Fe2Mo2Os, PBEsol geometry, DFT SCAN" total_energy_ev_per_atom=-34.7536 pbc="T T T"
Fe 0.000 0.000 3.859
Mo 1.890 0.000 2.429
Os 0.000 0.000 0.000
Fe 1.890 1.890 0.998
Mo 0.000 1.890 2.429

---

5
Lattice="-3.458 1.073 0.277 -1.071 -3.469 0.070 2.781 1.170 6.378" Properties=species:S:1:pos:R:3 comment="Zn2CdAu2, PBEsol geometry, DFT SCAN" polymorph_energy_mev_per_atom=0.0 pbc="T T T"
Zn -1.471 0.522 3.414
Cd 0.000 0.000 0.000
Au 0.408 -0.022 5.178
Au -2.156 -1.204 1.546
Zn -0.277 -1.748 3.310

---

5
Lattice="3.427 0.000 0.000 0.000 4.655 0.000 0.000 0.000 4.655" Properties=species:S:1:pos:R:3 comment="Cd2FePtN, PBEsol geometry, DFT SCAN" total_energy_ev_per_atom=-31.5075 pbc="T T T"
Fe 1.714 0.000 0.000
Cd 0.000 2.327 0.000
N 0.000 0.000 0.000
Pt 1.714 2.327 2.327
Cd 0.000 0.000 2.327

---

4
Lattice="-2.211 -1.115 0.713 -0.077 -1.278 -2.236 4.000 -5.875 3.220" Properties=species:S:1:pos:R:3 comment="Cu2ReP, PBEsol geometry, DFT SCAN" total_energy_ev_per_atom=-27.5845 pbc="T T T"
P -1.144 -1.196 -0.762
Cu 0.987 -1.450 0.794
Cu 3.013 -4.425 2.425
Re 0.856 -4.134 0.848

---

4
Lattice="3.295 0.000 0.000 0.000 4.714 0.000 -1.647 -2.357 7.171" Properties=species:S:1:pos:R:3 comment="KZrW2, PBEsol geometry, DFT SCAN" total_energy_ev_per_atom=-43.5624 pbc="T T T"
K 0.000 2.357 4.294
Zr 1.647 2.357 0.510
W 1.647 0.000 2.060
W 0.000 0.000 0.307

---

5
Lattice="-3.386 1.996 -3.214 -3.655 -0.612 3.470 1.028 4.871 1.943" Properties=species:S:1:pos:R:3 comment="LaGaSn2Ir, PBEsol geometry, DFT SCAN" total_energy_ev_per_atom=-40.7555 pbc="T T T"
Ir 0.000 0.000 0.000
La 0.514 2.436 0.971
Sn -1.693 0.998 -1.607
Ga -3.006 3.128 1.099
Sn -1.828 -0.306 1.735

---

3
Lattice="-1.547 -2.591 3.047 4.012 -0.521 -1.424 1.648 3.128 3.497" Properties=species:S:1:pos:R:3 comment="BaSiAu, PBEsol geometry, DFT SCAN" total_energy_ev_per_atom=-40.3015 pbc="T T T"
Si 1.129 -0.337 3.305
Au 0.824 1.564 1.749
Ba 2.159 -1.211 0.066

---

3
Lattice="3.861 0.000 0.000 1.931 3.344 0.000 1.931 1.115 3.152" Properties=species:S:1:pos:R:3 comment="CrPRu, PBEsol geometry, DFT SCAN" total_energy_ev_per_atom=-21.5850 pbc="T T T"
Ru 0.000 0.000 0.000
Cr 3.861 2.229 1.576
P 1.931 1.115 0.788

---

4
Lattice="2.705 0.000 0.000 1.353 2.343 0.000 1.353 0.781 8.941" Properties=species:S:1:pos:R:3 comment="RuPt, PBEsol geometry, DFT SCAN" total_energy_ev_per_atom=-52.5206 pbc="T T T"
Ru 1.353 0.781 5.487
Pt 2.705 1.562 1.186
Pt 2.705 1.562 7.755
Ru 4.058 2.343 3.454

---

4
Lattice="-3.083 2.108 -0.249 -1.975 -2.687 1.700 3.304 1.814 2.584" Properties=species:S:1:pos:R:3 comment="CoIr2Rh, PBEsol geometry, DFT SCAN" polymorph_energy_mev_per_atom=0.0 pbc="T T T"
Rh -2.529 -0.289 0.726
Ir -0.600 -0.581 2.505
Co 0.000 0.000 0.000
Ir -1.154 1.816 1.530

---

4
Lattice="-0.696 -0.494 -3.358 -2.900 -1.695 0.850 -3.627 6.131 -0.150" Properties=species:S:1:pos:R:3 comment="YCd2Ag, PBEsol geometry, DFT SCAN" total_energy_ev_per_atom=-30.2623 pbc="T T T"
Cd -2.624 0.303 -1.288
Y -1.862 3.148 -0.077
Cd -3.583 6.058 -0.148
Ag -4.593 3.631 -1.370

---

4
Lattice="3.270 0.028 0.000 -0.029 3.270 0.000 0.000 0.000 8.671" Properties=species:S:1:pos:R:3 comment="Tl2RhPb, PBEsol geometry, DFT SCAN" polymorph_energy_mev_per_atom=0.0 pbc="T T T"
Tl 1.621 1.649 6.577
Pb 0.000 0.000 3.838
Rh 1.621 1.649 2.149
Tl 0.000 0.000 0.443

---

5
Lattice="-0.603 0.950 -3.004 -4.576 -0.343 0.811 -0.081 4.437 1.419" Properties=species:S:1:pos:R:3 comment="CrCu2ReH, PBEsol geometry, DFT SCAN" total_energy_ev_per_atom=-23.6037 pbc="T T T"
Re 0.000 0.000 0.000
H -0.302 0.475 -1.502
Cr -2.630 2.522 -0.387
Cu -2.288 -0.171 0.405
Cu -0.040 2.219 0.710

---

24
Lattice="-0.506 -5.689 1.868 6.014 3.062 1.876 -6.861 5.099 13.674" Properties=species:S:1:pos:R:3 comment="Na2GeSe3, PBEsol geometry, DFT SCAN" total_energy_ev_per_atom=-15.5002 pbc="T T T"
Se -1.988 0.942 7.029
Na -2.238 2.040 10.800
Ge -4.858 -1.290 10.772
Na -2.345 3.587 16.070
Ge -5.712 2.377 12.045
Na 0.993 -1.115 1.348
Se -2.632 -0.915 11.346
Na -3.630 0.043 14.005
Na 2.278 2.429 3.412
Se -0.260 3.097 14.062
Se 0.374 -3.845 2.752
Se 1.280 3.387 6.071
Se 2.425 -0.497 4.219
Se -3.777 2.968 13.199
Ge 4.360 0.094 5.372
Se -1.726 6.317 14.665
Na 0.886 0.431 6.617
Se 0.635 1.529 10.388
Se 0.775 5.361 11.569
Se -2.128 -2.889 5.848
Na -2.377 -1.643 8.495
Na 1.025 4.114 8.922
Ge 3.506 3.761 6.645
Se -1.093 -0.626 3.355

---

5
Lattice="4.515 0.000 0.000 0.000 4.515 0.000 0.000 0.000 5.840" Properties=species:S:1:pos:R:3 comment="NaAl2CuBr, PBEsol geometry, DFT SCAN" total_energy_ev_per_atom=-11.0122 pbc="T T T"
Br 2.258 2.258 2.920
Cu 0.000 0.000 0.000
Na 0.000 0.000 2.920
Al 2.258 0.000 0.000
Al 0.000 2.258 0.000

---

4
Lattice="-0.656 1.097 3.127 -1.973 -1.821 2.050 7.135 -5.107 5.115" Properties=species:S:1:pos:R:3 comment="ZrInBr2, PBEsol geometry, DFT SCAN" polymorph_energy_mev_per_atom=0.0 pbc="T T T"
Zr 0.000 0.000 0.000
Br 3.829 -4.647 7.909
Br 0.676 -1.184 2.382
In 2.253 -2.916 5.146

---

4
Lattice="4.023 0.000 0.000 -2.011 3.701 0.000 0.000 2.186 3.377" Properties=species:S:1:pos:R:3 comment="BeP3, PBEsol geometry, DFT SCAN" polymorph_energy_mev_per_atom=560.4 pbc="T T T"
P 2.011 1.093 1.688
P 0.000 2.397 0.844
Be 0.000 0.000 0.000
P 2.011 3.490 2.532

---

5
Lattice="4.919 0.000 0.000 0.000 4.919 0.000 0.000 0.000 5.084" Properties=species:S:1:pos:R:3 comment="RbZr2GeC, PBEsol geometry, DFT SCAN" total_energy_ev_per_atom=-18.8627 pbc="T T T"
Zr 2.460 0.000 0.000
Ge 0.000 0.000 2.542
C 2.460 2.460 2.542
Rb 0.000 0.000 0.000
Zr 0.000 2.460 0.000

---

4
Lattice="-2.626 0.096 -3.347 -3.322 -0.524 2.591 -0.354 4.212 0.398" Properties=species:S:1:pos:R:3 comment="ZrIn2Pt, PBEsol geometry, DFT SCAN" total_energy_ev_per_atom=-42.5156 pbc="T T T"
In -0.177 2.106 0.199
In -1.661 -0.262 1.295
Zr -1.313 0.048 -1.674
Pt -3.151 1.891 -0.179

---

4
Lattice="-0.236 1.885 4.037 3.370 -0.476 2.885 2.600 3.489 0.989" Properties=species:S:1:pos:R:3 comment="SrLiF2, PBEsol geometry, DFT SCAN" total_energy_ev_per_atom=-10.3194 pbc="T T T"
F 1.433 1.224 1.978
Li 0.000 0.000 0.000
F 4.300 3.673 5.934
Sr 2.867 2.449 3.956

---

5
Lattice="3.736 0.000 0.000 0.000 3.736 0.000 0.000 0.000 5.620" Properties=species:S:1:pos:R:3 comment="AlTcTeN2, PBEsol geometry, DFT SCAN" total_energy_ev_per_atom=-18.6384 pbc="T T T"
Al 0.000 0.000 0.000
N 1.868 0.000 0.000
N 0.000 1.868 0.000
Te 0.000 0.000 2.810
Tc 1.868 1.868 2.810

---

8
Lattice="5.507 -0.155 -0.001 -0.526 5.265 0.071 -0.513 -1.894 8.127" Properties=species:S:1:pos:R:3 comment="Cl, PBEsol geometry, DFT SCAN" polymorph_energy_mev_per_atom=14.6 pbc="T T T"
Cl 4.458 -0.303 5.757
Cl 0.010 3.520 2.440
Cl 1.423 2.218 1.791
Cl 3.955 0.011 3.110
Cl 0.999 2.849 7.036
Cl 3.046 0.999 6.405
Cl 3.470 0.368 1.160
Cl 0.513 3.205 5.087

---

5
Lattice="4.009 0.000 0.000 0.000 5.186 0.000 0.000 0.000 5.186" Properties=species:S:1:pos:R:3 comment="CaBeP2O, PBEsol geometry, DFT SCAN" total_energy_ev_per_atom=-7.2187 pbc="T T T"
P 0.000 2.593 0.000
O 2.005 0.000 0.000
Be 2.005 2.593 2.593
Ca 0.000 0.000 0.000
P 0.000 0.000 2.593

---

6
Lattice="-1.941 -2.061 0.472 3.231 -0.326 3.132 -3.536 3.918 2.566" Properties=species:S:1:pos:R:3 comment="MnSi2, PBEsol geometry, DFT SCAN" total_energy_ev_per_atom=-12.6979 pbc="T T T"
Si -3.122 1.588 2.820
Mn -0.079 0.113 0.170
Si -0.402 -0.638 4.284
Si -1.364 -0.216 2.171
Si 1.222 -0.683 2.042
Mn -0.799 1.615 3.765

---

3
Lattice="-0.500 2.373 -1.027 -2.312 0.964 3.353 4.098 0.850 -0.031" Properties=species:S:1:pos:R:3 comment="CuIrOs, PBEsol geometry, DFT SCAN" polymorph_energy_mev_per_atom=192.2 pbc="T T T"
Ir 1.547 2.855 0.246
Cu -0.422 2.000 -0.866
Os -0.339 1.706 1.888